[1]
Density functional theory data (PBE-GGA) for crystalline Pu2ThNb at its relaxed geometry.

Properties
V = 24.60 Å³/atom
calculated formation energy = 0.2905 eV/atom

abc: 3.7517 3.7517 6.9907
angles: 90.00 90.00 90.00
Site moments in Bohr magnetons follow the coordinates.
Fractional coordinates of all 4 atoms:
Th  0.5000  0.5000  0.5000  0.39
Pu  0.0000  0.0000  0.2152  5.11
Pu  0.0000  0.0000  0.7848  5.11
Nb  0.5000  0.5000  0.0000  -0.29

=====

[2]
Density functional theory data (PBE-GGA) for crystalline PuTi2Nb5 at its relaxed geometry.

Properties
V = 18.20 Å³/atom
calculated formation energy = 0.0447 eV/atom

abc: 9.3940 9.4057 10.4856
angles: 47.44 63.39 60.04
Site moments in Bohr magnetons follow the coordinates.
Fractional coordinates of all 32 atoms:
Nb  0.4734  0.1260  0.1859  0.06
Nb  0.3465  0.1254  0.9365  -0.09
Nb  0.3380  0.6230  0.9444  -0.22
Nb  0.0946  0.1230  0.4444  -0.22
Nb  0.9054  0.8770  0.5556  -0.22
Nb  0.5916  0.6254  0.4365  -0.09
Pu  0.0285  0.8793  0.8104  4.62
Nb  0.5270  0.3797  0.8104  -0.04
Nb  0.2209  0.1326  0.6815  -0.06
Nb  0.2147  0.6260  0.6859  0.06
Nb  0.5266  0.8740  0.8141  0.06
Ti  0.4084  0.8689  0.5669  -0.25
Ti  0.1557  0.3689  0.0669  -0.25
Nb  0.6620  0.3770  0.0556  -0.22
Pu  0.7182  0.6207  0.6896  4.62
Ti  0.5916  0.1311  0.4331  -0.25
Ti  0.1577  0.8812  0.0590  -0.25
Ti  0.0979  0.6188  0.4410  -0.25
Nb  0.7172  0.1203  0.6896  -0.04
Pu  0.9715  0.1207  0.1897  4.62
Nb  0.4084  0.3746  0.5635  -0.09
Ti  0.8423  0.1188  0.9410  -0.25
Nb  0.9650  0.6326  0.1815  -0.06
Nb  0.7791  0.8674  0.3185  -0.06
Nb  0.6535  0.8746  0.0635  -0.09
Nb  0.7853  0.3740  0.3141  0.06
Nb  0.0350  0.3674  0.8185  -0.06
Nb  0.4730  0.6203  0.1896  -0.04
Ti  0.9021  0.3812  0.5590  -0.25
Pu  0.2818  0.3793  0.3104  4.62
Ti  0.8443  0.6311  0.9331  -0.25
Nb  0.2828  0.8797  0.3104  -0.04

=====

[3]
Density functional theory data (PBE-GGA) for crystalline PuTi3Nb at its relaxed geometry.

Properties
V = 17.35 Å³/atom
calculated formation energy = 0.2054 eV/atom

abc: 2.8845 8.3056 9.0728
angles: 103.46 112.07 59.61
Fractional coordinates of all 10 atoms:
Ti  0.3331  0.2347  0.8064
Ti  0.3061  0.5975  0.6905
Pu  0.1186  0.7103  0.1510
Ti  0.2092  0.6203  0.4052
Ti  0.1888  0.3004  0.1441
Nb  0.2579  0.2749  0.4789
Ti  0.1822  0.9831  0.2893
Pu  0.3967  0.5075  0.9446
Ti  0.3265  0.9173  0.9515
Nb  0.2575  0.9429  0.6167

=====

[4]
Density functional theory data (PBE-GGA) for crystalline PuTi8Nb2 at its relaxed geometry.

Properties
V = 17.38 Å³/atom
calculated formation energy = 0.2454 eV/atom

abc: 5.4038 5.8335 8.0079
angles: 109.68 93.76 122.27
Fractional coordinates of all 11 atoms:
Ti  0.4035  0.5633  0.7924
Nb  0.8339  0.3963  0.6126
Nb  0.1661  0.6037  0.3874
Ti  0.5965  0.4367  0.2076
Ti  0.9891  0.7507  0.0124
Ti  0.6191  0.9401  0.2506
Ti  0.3809  0.0599  0.7494
Ti  0.2330  0.1532  0.4267
Pu  0.5000  0.0000  0.0000
Ti  0.7670  0.8468  0.5733
Ti  0.0109  0.2493  0.9876

=====

[5]
Density functional theory data (PBE-GGA) for crystalline PuTiNb at its relaxed geometry.

Properties
V = 19.22 Å³/atom
calculated formation energy = 0.1776 eV/atom

abc: 2.9225 4.7730 4.7730
angles: 120.00 90.00 90.00
Site moments in Bohr magnetons follow the coordinates.
Fractional coordinates of all 3 atoms:
Nb  0.0000  0.0000  0.0000  -0.21
Ti  0.4995  0.3333  0.6667  -0.19
Pu  0.5005  0.6667  0.3333  5.00

=====

[6]
Density functional theory data (PBE-GGA) for crystalline PuTi3Nb2 at its relaxed geometry.

Properties
V = 18.24 Å³/atom
calculated formation energy = 0.1205 eV/atom

abc: 5.6698 5.8026 7.9324
angles: 81.02 58.33 88.50
Site moments in Bohr magnetons follow the coordinates.
Fractional coordinates of all 12 atoms:
Nb  0.7193  0.1526  0.6701  -0.03
Nb  0.2807  0.8474  0.3299  -0.03
Pu  0.7584  0.7466  0.9985  4.76
Ti  0.7779  0.9953  0.3302  -0.01
Nb  0.2378  0.3446  0.3380  -0.03
Nb  0.7622  0.6554  0.6620  -0.03
Ti  0.7512  0.2499  0.9953  0.02
Pu  0.2416  0.2534  0.0015  4.76
Ti  0.2221  0.0047  0.6698  -0.01
Ti  0.2521  0.4998  0.6782  -0.06
Ti  0.2488  0.7501  0.0047  0.02
Ti  0.7479  0.5002  0.3218  -0.06

=====

[7]
Density functional theory data (PBE-GGA) for crystalline PuTiNb at its relaxed geometry.

Properties
V = 19.78 Å³/atom
calculated formation energy = 0.3134 eV/atom

abc: 5.6024 5.5316 5.2516
angles: 74.33 57.76 59.58
Site moments in Bohr magnetons follow the coordinates.
Fractional coordinates of all 6 atoms:
Nb  0.6602  0.0000  0.6797  -0.54
Ti  0.7500  0.5000  0.5000  0.00
Pu  0.1479  0.7042  0.0000  4.99
Pu  0.8521  0.2958  0.0000  4.99
Nb  0.3398  0.0000  0.3203  -0.54
Ti  0.2500  0.5000  0.5000  0.00

=====

[8]
Density functional theory data (PBE-GGA) for crystalline PuTi4Nb at its relaxed geometry.

Properties
V = 18.38 Å³/atom
calculated formation energy = 0.1441 eV/atom

abc: 5.4644 5.6972 9.4388
angles: 116.30 115.90 60.77
Site moments in Bohr magnetons follow the coordinates.
Fractional coordinates of all 12 atoms:
Nb  0.7909  0.0408  0.0817  -0.14
Pu  0.2954  0.5454  0.0908  4.91
Ti  0.6337  0.8875  0.2570  -0.28
Ti  0.7105  0.4492  0.4123  0.15
Nb  0.2092  0.9592  0.9183  -0.14
Ti  0.7982  0.0370  0.5877  0.15
Ti  0.2018  0.9630  0.4123  0.15
Ti  0.2895  0.5508  0.5877  0.15
Ti  0.8767  0.6305  0.7430  -0.28
Ti  0.1233  0.3695  0.2570  -0.28
Pu  0.7046  0.4546  0.9092  4.91
Ti  0.3663  0.1125  0.7430  -0.28

=====

[9]
Density functional theory data (PBE-GGA) for crystalline PuTiNbZn at its relaxed geometry.

Properties
V = 18.78 Å³/atom
calculated formation energy = 0.1151 eV/atom

abc: 4.7361 4.7361 4.7361
angles: 60.00 60.00 60.00
Site moments in Bohr magnetons follow the coordinates.
Fractional coordinates of all 4 atoms:
Pu  0.0000  0.0000  0.0000  4.94
Nb  0.7500  0.7500  0.7500  -0.42
Ti  0.5000  0.5000  0.5000  -0.05
Zn  0.2500  0.2500  0.2500  0.03

=====

[10]
Density functional theory data (PBE-GGA) for crystalline PuZrTiNb at its relaxed geometry.

Properties
V = 20.29 Å³/atom
calculated formation energy = 0.1778 eV/atom

abc: 4.8599 4.8599 4.8599
angles: 60.00 60.00 60.00
Site moments in Bohr magnetons follow the coordinates.
Fractional coordinates of all 4 atoms:
Pu  0.5000  0.5000  0.5000  5.22
Zr  0.7500  0.7500  0.7500  0.10
Ti  0.2500  0.2500  0.2500  0.51
Nb  0.0000  0.0000  0.0000  -0.57

=====

[11]
Density functional theory data (PBE-GGA) for crystalline TmPuNb at its relaxed geometry.

Properties
V = 22.95 Å³/atom
calculated formation energy = 0.3309 eV/atom

abc: 3.4617 3.4617 13.4192
angles: 82.59 82.59 60.00
Fractional coordinates of all 6 atoms:
Nb  0.5987  0.5987  0.2038
Pu  0.3177  0.3177  0.0468
Tm  0.1283  0.1283  0.6152
Pu  0.6823  0.6823  0.9532
Nb  0.4013  0.4013  0.7962
Tm  0.8717  0.8717  0.3848

=====

[12]
Density functional theory data (PBE-GGA) for crystalline TmPuNb at its relaxed geometry.

Properties
V = 23.82 Å³/atom
calculated formation energy = 0.2774 eV/atom

abc: 3.5911 3.5911 6.0955
angles: 107.13 107.13 90.00
Site moments in Bohr magnetons follow the coordinates.
Fractional coordinates of all 3 atoms:
Nb  0.3146  0.3146  0.6292  -0.29
Pu  0.6929  0.6929  0.3858  5.13
Tm  0.9925  0.9925  0.9850  0.19

=====

Q: Which value of V does entry 3 give?
A: 17.35 Å³/atom

=====

Q: Which formula does entry 3 have?
A: PuTi3Nb